DFT (PBE-GGA) results for a geometry-optimized CrCd3Hg structure.

POSCAR file:
```
CrCd3Hg
1.0
-2.849 -3.120 -3.383
-3.359 -1.310 4.036
-3.145 4.224 -1.247
Cr Hg Cd
1 1 3
direct
0.000 0.000 0.000
0.500 0.500 0.500
0.000 0.500 0.000
0.000 0.000 0.500
0.500 0.000 0.000
```

M_tot, μB/f.u.: 5.02
ΔE_f, eV/atom: 0.524
Total DFT energy (no corrections), eV per atom: -2.01
Space-group type: Pm-3m (221)
Distance to the lowest polymorph of the same formula, meV per atom: 0